No. 1
VASP calculation (PBE-GGA) on crystalline AlCo2B at its relaxed geometry.

Structure (CIF):
```
data_AlCo2B
_chemical_formula_sum 'Al4 Co8 B4'
_cell_length_a 6.0921
_cell_length_b 6.0921
_cell_length_c 4.6379
_cell_angle_alpha 90.00
_cell_angle_beta 90.00
_cell_angle_gamma 90.00
_space_group_name_H-M_alt 'P 1'
_space_group_IT_number 1
loop_
_space_group_symop_operation_xyz
'x,y,z'
loop_
_atom_site_label
_atom_site_fract_x
_atom_site_fract_y
_atom_site_fract_z
Al1 0.0000 0.0000 0.0000
Al2 0.0000 0.5000 0.2500
Al3 0.5000 0.0000 0.7500
Al4 0.5000 0.5000 0.5000
Co1 0.1634 0.2500 0.6250
Co2 0.2500 0.6634 0.8750
Co3 0.2500 0.8366 0.3750
Co4 0.3366 0.2500 0.1250
Co5 0.6634 0.7500 0.1250
Co6 0.7500 0.1634 0.3750
Co7 0.7500 0.3366 0.8750
Co8 0.8366 0.7500 0.6250
B1 0.0000 0.0000 0.5000
B2 0.0000 0.5000 0.7500
B3 0.5000 0.0000 0.2500
B4 0.5000 0.5000 0.0000
```

Computed properties:
SG: I-42d, No. 122
V: 172 Å³/cell
Electronic total energy: -6.251 eV per atom
DOS(E_F): 11.4 states/eV/cell

No. 2
VASP calculation (PBE-GGA) on crystalline PmSbP2 at its relaxed geometry.

Structure (CIF):
```
data_PmSbP2
_chemical_formula_sum 'Pm1 Sb1 P2'
_cell_length_a 4.7976
_cell_length_b 4.7976
_cell_length_c 3.7248
_cell_angle_alpha 90.00
_cell_angle_beta 90.00
_cell_angle_gamma 90.00
_space_group_name_H-M_alt 'P 1'
_space_group_IT_number 1
loop_
_space_group_symop_operation_xyz
'x,y,z'
loop_
_atom_site_label
_atom_site_fract_x
_atom_site_fract_y
_atom_site_fract_z
Pm1 0.0000 0.0000 0.0000
Sb1 0.5000 0.5000 0.0000
P1 0.0000 0.5000 0.5000
P2 0.5000 0.0000 0.5000
```

Computed properties:
SG: P4/mmm, No. 123
V: 86 Å³/cell
Electronic total energy: -5.366 eV per atom
DOS(E_F): 2.1 states/eV/cell
Raw formation energy: -0.44 eV per atom

No. 3
VASP calculation (PBE-GGA) on crystalline TbGa2Ru2C at its relaxed geometry.

Structure (CIF):
```
data_TbGa2Ru2C
_chemical_formula_sum 'Tb1 Ga2 Ru2 C1'
_cell_length_a 4.1001
_cell_length_b 4.1001
_cell_length_c 5.5628
_cell_angle_alpha 90.00
_cell_angle_beta 90.00
_cell_angle_gamma 90.00
_space_group_name_H-M_alt 'P 1'
_space_group_IT_number 1
loop_
_space_group_symop_operation_xyz
'x,y,z'
loop_
_atom_site_label
_atom_site_fract_x
_atom_site_fract_y
_atom_site_fract_z
Tb1 0.0000 0.0000 0.0000
Ga1 0.5000 0.5000 0.2182
Ga2 0.5000 0.5000 0.7818
Ru1 0.0000 0.5000 0.5000
Ru2 0.5000 0.0000 0.5000
C1 0.0000 0.0000 0.5000
```

Computed properties:
SG: P4/mmm, No. 123
V: 94 Å³/cell
Electronic total energy: -6.815 eV per atom
DOS(E_F): 2.4 states/eV/cell

No. 4
VASP calculation (PBE-GGA) on crystalline Ba2CaHg at its relaxed geometry.

Structure (CIF):
```
data_Ba2CaHg
_chemical_formula_sum 'Ba8 Ca4 Hg4'
_cell_length_a 10.2912
_cell_length_b 10.2912
_cell_length_c 7.2554
_cell_angle_alpha 90.00
_cell_angle_beta 90.00
_cell_angle_gamma 90.00
_space_group_name_H-M_alt 'P 1'
_space_group_IT_number 1
loop_
_space_group_symop_operation_xyz
'x,y,z'
loop_
_atom_site_label
_atom_site_fract_x
_atom_site_fract_y
_atom_site_fract_z
Ba1 0.1840 0.2500 0.1250
Ba2 0.2500 0.6840 0.3750
Ba3 0.2500 0.8160 0.8750
Ba4 0.3160 0.2500 0.6250
Ba5 0.6840 0.7500 0.6250
Ba6 0.7500 0.1840 0.8750
Ba7 0.7500 0.3160 0.3750
Ba8 0.8160 0.7500 0.1250
Ca1 0.0000 0.0000 0.5000
Ca2 0.0000 0.5000 0.7500
Ca3 0.5000 0.0000 0.2500
Ca4 0.5000 0.5000 0.0000
Hg1 0.0000 0.0000 0.0000
Hg2 0.0000 0.5000 0.2500
Hg3 0.5000 0.0000 0.7500
Hg4 0.5000 0.5000 0.5000
```

Computed properties:
SG: I-42d, No. 122
V: 768 Å³/cell
Electronic total energy: -1.608 eV per atom
DOS(E_F): 10.3 states/eV/cell

No. 5
VASP calculation (PBE-GGA) on crystalline Pr5Ir2Br2 at its relaxed geometry.

Structure (CIF):
```
data_Pr5Ir2Br2
_chemical_formula_sum 'Pr10 Ir4 Br4'
_cell_length_a 9.0231
_cell_length_b 9.0231
_cell_length_c 8.1433
_cell_angle_alpha 90.00
_cell_angle_beta 90.00
_cell_angle_gamma 53.34
_space_group_name_H-M_alt 'P 1'
_space_group_IT_number 1
loop_
_space_group_symop_operation_xyz
'x,y,z'
loop_
_atom_site_label
_atom_site_fract_x
_atom_site_fract_y
_atom_site_fract_z
Pr1 0.0000 0.0000 0.0000
Pr2 0.0412 0.7321 0.6536
Pr3 0.2321 0.5412 0.1536
Pr4 0.2679 0.9588 0.6536
Pr5 0.4588 0.7679 0.1536
Pr6 0.5000 0.5000 0.5000
Pr7 0.5412 0.2321 0.8464
Pr8 0.7321 0.0412 0.3464
Pr9 0.7679 0.4588 0.8464
Pr10 0.9588 0.2679 0.3464
Ir1 0.1433 0.8567 0.3598
Ir2 0.3567 0.6433 0.8598
Ir3 0.6433 0.3567 0.1402
Ir4 0.8567 0.1433 0.6402
Br1 0.2062 0.2062 0.0000
Br2 0.2938 0.2938 0.5000
Br3 0.7062 0.7062 0.5000
Br4 0.7938 0.7938 0.0000
```

Computed properties:
SG: Cmce, No. 64
V: 532 Å³/cell
Electronic total energy: -5.872 eV per atom
DOS(E_F): 15.0 states/eV/cell
Raw formation energy: -0.88 eV per atom

No. 6
VASP calculation (PBE-GGA) on crystalline ZrTa3W at its relaxed geometry.

Structure (CIF):
```
data_ZrTa3W
_chemical_formula_sum 'Zr1 Ta3 W1'
_cell_length_a 4.8720
_cell_length_b 4.8720
_cell_length_c 4.8720
_cell_angle_alpha 90.00
_cell_angle_beta 90.00
_cell_angle_gamma 90.00
_space_group_name_H-M_alt 'P 1'
_space_group_IT_number 1
loop_
_space_group_symop_operation_xyz
'x,y,z'
loop_
_atom_site_label
_atom_site_fract_x
_atom_site_fract_y
_atom_site_fract_z
Zr1 0.0000 0.0000 0.0000
Ta1 0.0000 0.5000 0.5000
Ta2 0.5000 0.0000 0.5000
Ta3 0.5000 0.5000 0.0000
W1 0.5000 0.5000 0.5000
```

Computed properties:
SG: Pm-3m, No. 221
V: 116 Å³/cell
Electronic total energy: -10.163 eV per atom
DOS(E_F): 4.0 states/eV/cell

No. 7
VASP calculation (PBE-GGA) on crystalline U3Al at its relaxed geometry.

Structure (CIF):
```
data_U3Al
_chemical_formula_sum 'U3 Al1'
_cell_length_a 2.8817
_cell_length_b 5.0043
_cell_length_c 5.4685
_cell_angle_alpha 90.00
_cell_angle_beta 90.00
_cell_angle_gamma 90.00
_space_group_name_H-M_alt 'P 1'
_space_group_IT_number 1
loop_
_space_group_symop_operation_xyz
'x,y,z'
loop_
_atom_site_label
_atom_site_fract_x
_atom_site_fract_y
_atom_site_fract_z
U1 0.0000 0.0000 0.0000
U2 0.0000 0.5000 0.3543
U3 0.5000 0.0000 0.5210
Al1 0.5000 0.5000 0.8448
```

Computed properties:
SG: Pmm2, No. 25
V: 79 Å³/cell
Electronic total energy: -9.375 eV per atom
DOS(E_F): 9.0 states/eV/cell

No. 8
VASP calculation (PBE-GGA) on crystalline LiTm3Mg4 at its relaxed geometry.

Structure (CIF):
```
data_LiTm3Mg4
_chemical_formula_sum 'Li1 Tm3 Mg4'
_cell_length_a 3.6590
_cell_length_b 3.6590
_cell_length_c 15.0528
_cell_angle_alpha 90.00
_cell_angle_beta 90.00
_cell_angle_gamma 90.00
_space_group_name_H-M_alt 'P 1'
_space_group_IT_number 1
loop_
_space_group_symop_operation_xyz
'x,y,z'
loop_
_atom_site_label
_atom_site_fract_x
_atom_site_fract_y
_atom_site_fract_z
Li1 0.0000 0.0000 0.0000
Tm1 0.0000 0.0000 0.2466
Tm2 0.0000 0.0000 0.5000
Tm3 0.0000 0.0000 0.7534
Mg1 0.5000 0.5000 0.1094
Mg2 0.5000 0.5000 0.3730
Mg3 0.5000 0.5000 0.6270
Mg4 0.5000 0.5000 0.8906
```

Computed properties:
SG: P4/mmm, No. 123
V: 202 Å³/cell
Electronic total energy: -2.765 eV per atom
DOS(E_F): 7.6 states/eV/cell